First-principles (PBE-GGA) data for an optimized crystal structure of NbTcIN2, as listed in Alexandria via LeMat-Bulk.

abc: 4.0578 4.0578 5.8359
angles: 90.00 90.00 90.00
With the nearest neighbours (Å) after each atom.
Space group P4/mmm (No. 123)
Unique sites:
Nb  0.0000  0.0000  0.0000 x1  4 N 2.03
Tc  0.5000  0.5000  0.5000 x1  4 I 2.87
I  0.0000  0.0000  0.5000 x1  4 Tc 2.87, 2 Nb 2.92
N  0.0000  0.5000  0.0000 x2  2 Nb 2.03

DOS at the Fermi energy (states/eV per atom): 0.9046
Energy relative to the elements, uncorrected (eV per atom): 1.048

First-principles (PBE-GGA) data for an optimized crystal structure of NbTcIN2, as listed in Alexandria via LeMat-Bulk.

abc: 3.9528 3.9528 5.5736
angles: 90.00 90.00 90.00
With the nearest neighbours (Å) after each atom.
Space group P4/mmm (No. 123)
Unique sites:
Nb  0.0000  0.0000  0.0000 x1  4 I 2.80
Tc  0.5000  0.5000  0.5000 x1  4 N 1.98
I  0.5000  0.5000  0.0000 x1  2 Tc 2.79, 4 Nb 2.80
N  0.0000  0.5000  0.5000 x2  2 Tc 1.98

DOS at the Fermi energy (states/eV per atom): 0.8121
Energy relative to the elements, uncorrected (eV per atom): 1.169

First-principles (PBE-GGA) data for an optimized crystal structure of NbTe2IN, as listed in Alexandria via LeMat-Bulk.

abc: 4.8493 4.8493 4.7032
angles: 90.00 90.00 90.00
With the nearest neighbours (Å) after each atom.
Space group P4/mmm (No. 123)
Unique sites:
Nb  0.0000  0.0000  0.0000 x1  8 Te 3.38, 4 I 3.43
Te  0.0000  0.5000  0.5000 x2  2 N 2.42
I  0.5000  0.5000  0.0000 x1  2 N 2.35
N  0.5000  0.5000  0.5000 x1  2 I 2.35, 4 Te 2.42

DOS at the Fermi energy (states/eV per atom): 0.3486
Energy relative to the elements, uncorrected (eV per atom): 1.012

First-principles (PBE-GGA) data for an optimized crystal structure of NbTeIN2, as listed in Alexandria via LeMat-Bulk.

abc: 4.0137 4.0137 7.7803
angles: 90.00 90.00 90.00
With the nearest neighbours (Å) after each atom.
Space group P4/mmm (No. 123)
Unique sites:
Nb  0.0000  0.0000  0.0000 x1  4 Te 2.84
Te  0.5000  0.5000  0.0000 x1  4 Nb 2.84
I  0.5000  0.5000  0.5000 x1  4 N 2.01
N  0.0000  0.5000  0.5000 x2  2 I 2.01

DOS at the Fermi energy (states/eV per atom): 0.9923
Energy relative to the elements, uncorrected (eV per atom): 1.971

First-principles (PBE-GGA) data for an optimized crystal structure of NbTe2IN, as listed in Alexandria via LeMat-Bulk.

abc: 5.8192 5.8192 3.9157
angles: 90.00 90.00 90.00
With the nearest neighbours (Å) after each atom.
Space group P4/mmm (No. 123)
Unique sites:
Nb  0.0000  0.0000  0.0000 x1  8 Te 3.51, 2 Nb 3.92
Te  0.0000  0.5000  0.5000 x2  2 I 2.91
I  0.5000  0.5000  0.5000 x1  2 N 1.96
N  0.5000  0.5000  0.0000 x1  2 I 1.96

DOS at the Fermi energy (states/eV per atom): 0.6350
Energy relative to the elements, uncorrected (eV per atom): 1.506

First-principles (PBE-GGA) data for an optimized crystal structure of NbTeIN2, as listed in Alexandria via LeMat-Bulk.

abc: 4.1740 4.1740 6.1280
angles: 90.00 90.00 90.00
With the nearest neighbours (Å) after each atom.
Space group P4/mmm (No. 123)
Unique sites:
Nb  0.0000  0.0000  0.0000 x1  4 N 2.09
Te  0.5000  0.5000  0.5000 x1  4 I 2.95
I  0.0000  0.0000  0.5000 x1  4 Te 2.95, 2 Nb 3.06
N  0.0000  0.5000  0.0000 x2  2 Nb 2.09

DOS at the Fermi energy (states/eV per atom): 0.6191
Energy relative to the elements, uncorrected (eV per atom): 0.720

First-principles (PBE-GGA) data for an optimized crystal structure of NbTe2IN, as listed in Alexandria via LeMat-Bulk.

abc: 5.6602 5.6602 3.9704
angles: 90.00 90.00 90.00
With the nearest neighbours (Å) after each atom.
Space group P4/mmm (No. 123)
Unique sites:
Nb  0.0000  0.0000  0.0000 x1  2 N 1.99
Te  0.0000  0.5000  0.0000 x2  2 Nb 2.83
I  0.5000  0.5000  0.5000 x1  8 Te 3.46
N  0.0000  0.0000  0.5000 x1  2 Nb 1.99

DOS at the Fermi energy (states/eV per atom): 0.5706
Energy relative to the elements, uncorrected (eV per atom): 0.199

First-principles (PBE-GGA) data for an optimized crystal structure of NbTeIN2, as listed in Alexandria via LeMat-Bulk.

abc: 4.1747 4.1747 6.0470
angles: 90.00 90.00 90.00
With the nearest neighbours (Å) after each atom.
Space group P4/mmm (No. 123)
Unique sites:
Nb  0.0000  0.0000  0.0000 x1  4 N 2.09
Te  0.0000  0.0000  0.5000 x1  4 I 2.95, 2 Nb 3.02
I  0.5000  0.5000  0.5000 x1  4 Te 2.95
N  0.0000  0.5000  0.0000 x2  2 Nb 2.09

DOS at the Fermi energy (states/eV per atom): 0.4791
Energy relative to the elements, uncorrected (eV per atom): 0.525